Record 1
A relaxed structure of VGeN2O. Source: Alexandria, functional PBE with a Hubbard U.

```
VGeN2O
1.0
3.757 0.000 0.000
0.000 3.757 0.000
0.000 0.000 3.749
V Ge N O
1 1 2 1
Direct
0.000 0.000 0.000
0.500 0.500 0.500
0.000 0.500 0.500
0.500 0.000 0.500
0.500 0.500 0.000
```

Summary:
density	5.259	g/cm³
total energy	-6.131	eV/atom

***

Record 2
A relaxed structure of VGeN2O. Source: Alexandria, functional PBE with a Hubbard U.

```
VGeN2O
1.0
3.864 0.000 0.000
0.000 3.864 0.000
0.000 0.000 3.790
V Ge N O
1 1 2 1
Direct
0.000 0.000 0.000
0.500 0.500 0.500
0.000 0.500 0.000
0.500 0.000 0.000
0.000 0.000 0.500
```

Summary:
density	4.918	g/cm³
total energy	-6.546	eV/atom